*w*
VASP calculation (PBE-GGA) on a geometry-optimized ScReTe structure.

Summary:
magnetic moment: 0.0 μB/f.u.
N(E_F): 0.5 states/eV/f.u.

Cell: 3.2632 3.2632 11.6519 Å, 90.00 90.00 90.00°
Last column: nearest neighbours and their distance in Å.
Space group I4mm (No. 107)
Unique sites:
Sc 0.0000 0.0000 0.0000 [2 per cell]  4 Re 2.89
Re 0.0000 0.0000 0.6491 [2 per cell]  4 Te 2.75, 4 Sc 2.89
Te 0.0000 0.0000 0.2782 [2 per cell]  4 Re 2.75


*x*
VASP calculation (PBE-GGA) on a geometry-optimized ScReTe structure.

Summary:
magnetic moment: 0.0 μB/f.u.
N(E_F): 4.2 states/eV/f.u.

Cell: 6.3715 6.3715 6.3715 Å, 90.00 90.00 90.00°
Last column: nearest neighbours and their distance in Å.
Space group F-43m (No. 216)
Unique sites:
Sc 0.0000 0.0000 0.0000 [4 per cell]  4 Re 2.76
Re 0.2500 0.2500 0.7500 [4 per cell]  4 Te 2.76, 4 Sc 2.76
Te 0.0000 0.0000 0.5000 [4 per cell]  4 Re 2.76


*y*
VASP calculation (PBE-GGA) on a geometry-optimized ScReTe structure.

Summary:
magnetic moment: 0.0 μB/f.u.
N(E_F): 2.9 states/eV/f.u.

Cell: 3.3346 3.3346 6.4393 Å, 90.00 90.00 120.00°
Last column: nearest neighbours and their distance in Å.
Space group P3m1 (No. 156)
Unique sites:
Sc 0.0000 0.0000 0.0000 [1 per cell]  3 Re 2.76
Re 0.3333 0.6667 0.6931 [1 per cell]  3 Te 2.75, 3 Sc 2.76
Te 0.6667 0.3333 0.3881 [1 per cell]  3 Re 2.75


Which of them is most stable, and which least? Most stable: *w*; least stable: *y*.


*w*
VASP calculation (PBE-GGA) on a geometry-optimized ScReTe structure.

Summary:
magnetic moment: 0.0 μB/f.u.
N(E_F): 3.7 states/eV/f.u.

Cell: 4.5444 4.5444 3.3106 Å, 90.00 90.00 120.00°
Last column: nearest neighbours and their distance in Å.
Space group P-6m2 (No. 187)
Unique sites:
Sc 0.0000 0.0000 0.0000 [1 per cell]  6 Re 3.10, 6 Te 3.10, 2 Sc 3.31
Re 0.3333 0.6667 0.5000 [1 per cell]  3 Te 2.62
Te 0.6667 0.3333 0.5000 [1 per cell]  3 Re 2.62


*x*
VASP calculation (PBE-GGA) on a geometry-optimized ScReTe structure.

Summary:
magnetic moment: 0.0 μB/f.u.
N(E_F): 2.8 states/eV/f.u.

Cell: 6.4351 6.4351 6.4351 Å, 90.00 90.00 90.00°
Last column: nearest neighbours and their distance in Å.
Space group F-43m (No. 216)
Unique sites:
Sc 0.0000 0.0000 0.0000 [4 per cell]  4 Re 2.79, 4 Te 2.79
Re 0.2500 0.2500 0.2500 [4 per cell]  4 Sc 2.79
Te 0.2500 0.2500 0.7500 [4 per cell]  4 Sc 2.79


Which of them is most stable, and which least? Most stable: *w*; least stable: *x*.


*w*
VASP calculation (PBE-GGA) on a geometry-optimized ScReTe2 structure.

Summary:
magnetic moment: 0.0 μB/f.u.
N(E_F): 1.9 states/eV/f.u.

Cell: 3.3858 4.2927 12.1129 Å, 90.00 90.00 90.00°
Last column: nearest neighbours and their distance in Å.
Space group Imm2 (No. 44)
Unique sites:
Sc 0.0000 0.0000 0.0000 [2 per cell]  6 Te 2.93-3.01, 2 Re 3.13
Re 0.0000 0.5000 0.2826 [2 per cell]  6 Te 2.74-2.81
Te 0.0000 0.0000 0.6048 [2 per cell]  2 Re 2.74, 4 Sc 3.01
Te 0.0000 0.5000 0.8350 [2 per cell]  4 Re 2.81, 2 Sc 2.93


*x*
VASP calculation (PBE-GGA) on a geometry-optimized ScReTe2 structure.

Summary:
magnetic moment: 0.0 μB/f.u.
N(E_F): 1.6 states/eV/f.u.

Cell: 9.6797 3.4997 5.0993 Å, 90.00 103.28 90.00°
Last column: nearest neighbours and their distance in Å.
Space group Cm (No. 8)
Unique sites:
Sc 0.0000 0.0000 0.0000 [2 per cell]  5 Te 2.75-3.05, 1 Re 3.03
Re 0.2765 0.5000 0.3299 [2 per cell]  5 Te 2.76-2.97, 1 Sc 3.03
Te 0.0008 0.5000 0.4908 [2 per cell]  3 Re 2.76-2.97, 2 Sc 3.05
Te 0.2642 0.0000 0.8875 [2 per cell]  3 Sc 2.75-2.83, 2 Re 2.84


Which of them is most stable, and which least? Most stable: *x*; least stable: *w*.


*w*
VASP calculation (PBE-GGA) on a geometry-optimized ScReTe2 structure.

Summary:
magnetic moment: 0.0 μB/f.u.
N(E_F): 1.7 states/eV/f.u.

Cell: 7.0127 7.0127 7.0127 Å, 90.00 90.00 90.00°
Last column: nearest neighbours and their distance in Å.
Space group F-43m (No. 216)
Unique sites:
Sc 0.0000 0.0000 0.0000 [4 per cell]  4 Re 3.04, 4 Te 3.04
Re 0.2500 0.2500 0.2500 [4 per cell]  4 Te 3.04, 4 Sc 3.04
Te 0.0000 0.0000 0.5000 [4 per cell]  4 Re 3.04, 4 Te 3.04
Te 0.2500 0.2500 0.7500 [4 per cell]  4 Te 3.04, 4 Sc 3.04


*x*
VASP calculation (PBE-GGA) on a geometry-optimized ScReTe2 structure.

Summary:
magnetic moment: 0.0 μB/f.u.
N(E_F): 3.6 states/eV/f.u.

Cell: 3.5802 5.1833 4.6071 Å, 90.00 90.00 90.00°
Last column: nearest neighbours and their distance in Å.
Space group Pmm2 (No. 25)
Unique sites:
Sc 0.0000 0.0000 0.0000 [1 per cell]  6 Te 2.79-3.01
Re 0.5000 0.5000 0.2562 [1 per cell]  6 Te 2.78-2.99
Te 0.0000 0.5000 0.7757 [1 per cell]  2 Sc 2.79, 4 Re 2.85-2.99
Te 0.5000 0.0000 0.4734 [1 per cell]  2 Re 2.78, 4 Sc 2.82-3.01


*y*
VASP calculation (PBE-GGA) on a geometry-optimized ScReTe2 structure.

Summary:
magnetic moment: 0.0 μB/f.u.
N(E_F): 1.1 states/eV/f.u.

Cell: 3.3110 3.3110 8.6880 Å, 90.00 90.00 90.00°
Last column: nearest neighbours and their distance in Å.
Space group P4mm (No. 99)
Unique sites:
Sc 0.0000 0.0000 0.0000 [1 per cell]  4 Re 2.97, 5 Te 3.07-3.24, 4 Sc 3.31
Re 0.5000 0.5000 0.7899 [1 per cell]  4 Te 2.74, 4 Sc 2.97
Te 0.0000 0.0000 0.6270 [1 per cell]  4 Re 2.74
Te 0.5000 0.5000 0.2279 [1 per cell]  4 Sc 3.07, 4 Te 3.31


Which of them is most stable, and which least? Most stable: *y*; least stable: *w*.


*w*
VASP calculation (PBE-GGA) on a geometry-optimized ScVRe2Te structure.

Summary:
magnetic moment: 0.0 μB/f.u.
N(E_F): 6.4 states/eV/f.u.

Cell: 4.5720 4.5720 4.9446 Å, 90.00 90.00 90.00°
Last column: nearest neighbours and their distance in Å.
Space group P4/mmm (No. 123)
Unique sites:
Sc 0.0000 0.0000 0.0000 [1 per cell]  4 Te 3.23, 8 Re 3.37
V 0.5000 0.5000 0.5000 [1 per cell]  4 Re 2.29, 2 Te 2.47
Re 0.0000 0.5000 0.5000 [2 per cell]  2 V 2.29
Te 0.5000 0.5000 0.0000 [1 per cell]  2 V 2.47


*x*
VASP calculation (PBE-GGA) on a geometry-optimized ScVRe2Te structure.

Summary:
magnetic moment: 0.9 μB/f.u.
N(E_F): 7.3 states/eV/f.u.

Cell: 4.7693 4.7693 4.4404 Å, 90.00 90.00 90.00°
Last column: nearest neighbours and their distance in Å.
Space group P4/mmm (No. 123)
Unique sites:
Sc 0.0000 0.0000 0.0000 [1 per cell]  2 V 2.22, 4 Re 2.38
V 0.0000 0.0000 0.5000 [1 per cell]  2 Sc 2.22
Re 0.0000 0.5000 0.0000 [2 per cell]  2 Sc 2.38
Te 0.5000 0.5000 0.5000 [1 per cell]  8 Re 3.26, 4 V 3.37


Which of them is most stable, and which least? Most stable: *w*; least stable: *x*.


*w*
VASP calculation (PBE-GGA) on a geometry-optimized Th2ScRe structure.

Summary:
magnetic moment: 0.0 μB/f.u.
N(E_F): 6.5 states/eV/f.u.

Cell: 3.3275 3.3275 32.9455 Å, 90.00 90.00 120.00°
Last column: nearest neighbours and their distance in Å.
Space group R-3m (No. 166, hexagonal axes)
Unique sites:
Th 0.0000 0.0000 0.0791 [6 per cell]  1 Re 2.61
Sc 0.0000 0.0000 0.5000 [3 per cell]  6 Sc 3.33, 6 Th 3.47
Re 0.0000 0.0000 0.0000 [3 per cell]  2 Th 2.61


*x*
VASP calculation (PBE-GGA) on a geometry-optimized Th2ScRe structure.

Summary:
magnetic moment: 0.0 μB/f.u.
N(E_F): 5.8 states/eV/f.u.

Cell: 3.5487 3.5487 8.2127 Å, 90.00 90.00 90.00°
Last column: nearest neighbours and their distance in Å.
Space group P4/mmm (No. 123)
Unique sites:
Th 0.0000 0.0000 0.2164 [2 per cell]  4 Re 3.08, 4 Sc 3.42
Sc 0.5000 0.5000 0.5000 [1 per cell]  8 Th 3.42, 4 Sc 3.55
Re 0.5000 0.5000 0.0000 [1 per cell]  8 Th 3.08


Which of them is most stable, and which least? Most stable: *x*; least stable: *w*.


*w*
VASP calculation (PBE-GGA) on a geometry-optimized ThScRe structure.

Summary:
magnetic moment: 0.0 μB/f.u.
N(E_F): 2.1 states/eV/f.u.

Cell: 3.3932 3.3932 12.5992 Å, 90.00 90.00 90.00°
Last column: nearest neighbours and their distance in Å.
Space group I4mm (No. 107)
Unique sites:
Th 0.0000 0.0000 0.0000 [2 per cell]  4 Re 2.97, 1 Sc 3.30
Sc 0.0000 0.0000 0.7384 [2 per cell]  4 Re 2.85
Re 0.0000 0.0000 0.3607 [2 per cell]  4 Sc 2.85, 4 Th 2.97


*x*
VASP calculation (PBE-GGA) on a geometry-optimized ThScRe structure.

Summary:
magnetic moment: 0.0 μB/f.u.
N(E_F): 3.1 states/eV/f.u.

Cell: 4.5049 6.0391 6.2489 Å, 71.98 69.01 68.25°
Last column: nearest neighbours and their distance in Å.
Space group P-1 (No. 2)
Unique sites:
Th 0.0791 0.1645 0.1762 [2 per cell]  3 Re 2.96-2.97
Sc 0.3054 0.3085 0.5811 [2 per cell]  3 Re 2.83-2.88, 2 Sc 3.12-3.13
Re 0.3582 0.6450 0.1374 [2 per cell]  1 Re 2.51


Which of them is most stable, and which least? Most stable: *x*; least stable: *w*.


*w*
VASP calculation (PBE-GGA) on a geometry-optimized ScTlRe2 structure.

Summary:
magnetic moment: 0.0 μB/f.u.
N(E_F): 3.6 states/eV/f.u.

Cell: 3.2165 4.7304 9.4721 Å, 90.00 90.00 90.00°
Last column: nearest neighbours and their distance in Å.
Space group Cmmm (No. 65)
Unique sites:
Sc 0.0000 0.0000 0.0000 [2 per cell]  4 Re 2.77, 4 Sc 2.86
Tl 0.0000 0.0000 0.5000 [2 per cell]  4 Tl 2.86, 4 Re 2.95
Re 0.0000 0.5000 0.2384 [4 per cell]  2 Sc 2.77, 4 Re 2.86, 2 Tl 2.95


*x*
VASP calculation (PBE-GGA) on a geometry-optimized ScTlRe2 structure.

Summary:
magnetic moment: 0.0 μB/f.u.
N(E_F): 2.0 states/eV/f.u.

Cell: 3.0480 3.0480 8.1261 Å, 90.00 90.00 90.00°
Last column: nearest neighbours and their distance in Å.
Space group P4mm (No. 99)
Unique sites:
Sc 0.0000 0.0000 0.0000 [1 per cell]  4 Re 2.91, 4 Sc 3.05
Tl 0.5000 0.5000 0.3046 [1 per cell]  4 Tl 3.05, 4 Re 3.12, 4 Sc 3.28
Re 0.0000 0.0000 0.5825 [1 per cell]  4 Re 2.59
Re 0.5000 0.5000 0.7586 [1 per cell]  4 Re 2.59


*y*
VASP calculation (PBE-GGA) on a geometry-optimized ScTlRe2 structure.

Summary:
magnetic moment: 0.0 μB/f.u.
N(E_F): 4.3 states/eV/f.u.

Cell: 3.9538 3.9538 9.1314 Å, 90.00 90.00 90.00°
Last column: nearest neighbours and their distance in Å.
Space group I4/mmm (No. 139)
Unique sites:
Sc 0.0000 0.0000 0.0000 [2 per cell]  4 Tl 2.80, 8 Re 3.02
Tl 0.0000 0.0000 0.5000 [2 per cell]  4 Sc 2.80, 8 Re 3.02
Re 0.0000 0.5000 0.2500 [4 per cell]  4 Re 2.80, 4 Tl 3.02, 4 Sc 3.02


Which of them is most stable, and which least? Most stable: *x*; least stable: *w*.


*w*
VASP calculation (PBE-GGA) on a geometry-optimized ScTlRe2 structure.

Summary:
magnetic moment: 0.0 μB/f.u.
N(E_F): 5.1 states/eV/f.u.

Cell: 2.8206 2.8206 9.2132 Å, 90.00 90.00 90.00°
Last column: nearest neighbours and their distance in Å.
Space group P4/mmm (No. 123)
Unique sites:
Sc 0.0000 0.0000 0.0000 [1 per cell]  4 Sc 2.82, 8 Re 2.97
Tl 0.0000 0.0000 0.5000 [1 per cell]  4 Tl 2.82, 8 Re 3.12
Re 0.5000 0.5000 0.2391 [2 per cell]  4 Re 2.82, 4 Sc 2.97, 4 Tl 3.12


*x*
VASP calculation (PBE-GGA) on a geometry-optimized ScTlRe2 structure.

Summary:
magnetic moment: 0.0 μB/f.u.
N(E_F): 2.7 states/eV/f.u.

Cell: 4.0071 4.0071 4.3698 Å, 90.00 90.00 90.00°
Last column: nearest neighbours and their distance in Å.
Space group P4/mmm (No. 123)
Unique sites:
Sc 0.0000 0.0000 0.0000 [1 per cell]  4 Tl 2.83, 8 Re 2.96
Tl 0.5000 0.5000 0.0000 [1 per cell]  4 Sc 2.83, 8 Re 2.96
Re 0.0000 0.5000 0.5000 [2 per cell]  4 Re 2.83, 4 Tl 2.96, 4 Sc 2.96


*y*
VASP calculation (PBE-GGA) on a geometry-optimized ScTlRe2 structure.

Summary:
magnetic moment: 0.0 μB/f.u.
N(E_F): 5.2 states/eV/f.u.

Cell: 5.5893 8.3398 3.0732 Å, 90.00 90.00 90.00°
Last column: nearest neighbours and their distance in Å.
Space group Cmmm (No. 65)
Unique sites:
Sc 0.0000 0.0000 0.0000 [2 per cell]  2 Tl 2.79, 8 Re 2.94, 2 Sc 3.07
Tl 0.0000 0.5000 0.0000 [2 per cell]  2 Sc 2.79, 8 Re 2.94, 2 Tl 3.07
Re 0.2500 0.2500 0.5000 [4 per cell]  4 Re 2.79-3.07, 4 Tl 2.94, 4 Sc 2.94


*z*
VASP calculation (PBE-GGA) on a geometry-optimized ScTlRe2 structure.

Summary:
magnetic moment: 0.0 μB/f.u.
N(E_F): 3.1 states/eV/f.u.

Cell: 3.0065 3.0065 28.1977 Å, 90.00 90.00 120.00°
Last column: nearest neighbours and their distance in Å.
Space group R3m (No. 160, hexagonal axes)
Unique sites:
Sc 0.0000 0.0000 0.0000 [3 per cell]  3 Re 2.85, 6 Sc 3.01, 3 Tl 3.16
Tl 0.0000 0.0000 0.2396 [3 per cell]  6 Tl 3.01, 3 Re 3.02, 3 Sc 3.16
Re 0.0000 0.0000 0.4851 [3 per cell]  3 Re 2.66
Re 0.0000 0.0000 0.7469 [3 per cell]  3 Re 2.66, 3 Sc 2.85


Which of them is most stable, and which least? Most stable: *z*; least stable: *w*.


*w*
VASP calculation (PBE-GGA) on a geometry-optimized ScTl2Re structure.

Summary:
magnetic moment: 0.0 μB/f.u.
N(E_F): 3.2 states/eV/f.u.

Cell: 4.2501 4.2501 9.0218 Å, 90.00 90.00 90.00°
Last column: nearest neighbours and their distance in Å.
Space group I-4m2 (No. 119)
Unique sites:
Sc 0.0000 0.0000 0.0000 [2 per cell]  8 Tl 3.01-3.10, 4 Re 3.10
Tl 0.0000 0.0000 0.5000 [2 per cell]  4 Sc 3.01, 4 Tl 3.10, 4 Re 3.10
Tl 0.0000 0.5000 0.7500 [2 per cell]  4 Re 3.01, 4 Tl 3.10, 4 Sc 3.10
Re 0.0000 0.5000 0.2500 [2 per cell]  8 Tl 3.01-3.10, 4 Sc 3.10


*x*
VASP calculation (PBE-GGA) on a geometry-optimized ScTl2Re structure.

Summary:
magnetic moment: 0.0 μB/f.u.
N(E_F): 3.7 states/eV/f.u.

Cell: 3.1833 3.1833 28.7408 Å, 90.00 90.00 120.00°
Last column: nearest neighbours and their distance in Å.
Space group R-3m (No. 166, hexagonal axes)
Unique sites:
Sc 0.0000 0.0000 0.0000 [3 per cell]  6 Tl 3.13, 6 Sc 3.18
Tl 0.0000 0.0000 0.2450 [6 per cell]  3 Re 2.91, 3 Sc 3.13, 6 Tl 3.18
Re 0.0000 0.0000 0.5000 [3 per cell]  6 Tl 2.91, 6 Re 3.18


*y*
VASP calculation (PBE-GGA) on a geometry-optimized ScTl2Re structure.

Summary:
magnetic moment: 0.0 μB/f.u.
N(E_F): 3.6 states/eV/f.u.

Cell: 3.0015 4.4393 6.1300 Å, 90.00 90.00 90.00°
Last column: nearest neighbours and their distance in Å.
Space group Pmmm (No. 47)
Unique sites:
Sc 0.0000 0.0000 0.0000 [1 per cell]  2 Sc 3.00, 2 Re 3.07, 8 Tl 3.12
Tl 0.5000 0.5000 0.2600 [2 per cell]  4 Tl 2.94-3.19, 4 Re 3.06, 4 Sc 3.12
Re 0.0000 0.0000 0.5000 [1 per cell]  2 Re 3.00, 8 Tl 3.06, 2 Sc 3.07


*z*
VASP calculation (PBE-GGA) on a geometry-optimized ScTl2Re structure.

Summary:
magnetic moment: 0.0 μB/f.u.
N(E_F): 4.7 states/eV/f.u.

Cell: 3.2418 3.2418 8.7095 Å, 90.00 90.00 90.00°
Last column: nearest neighbours and their distance in Å.
Space group P4mm (No. 99)
Unique sites:
Sc 0.0000 0.0000 0.0000 [1 per cell]  4 Re 2.76
Tl 0.0000 0.0000 0.6026 [1 per cell]  4 Re 2.99, 4 Tl 3.24
Tl 0.5000 0.5000 0.2919 [1 per cell]  8 Tl 3.24-3.55, 4 Sc 3.42
Re 0.5000 0.5000 0.8233 [1 per cell]  4 Sc 2.76, 4 Tl 2.99


Which of them is most stable, and which least? Most stable: *z*; least stable: *x*.


*w*
VASP calculation (PBE-GGA) on a geometry-optimized ScTlRe structure.

Summary:
magnetic moment: 0.0 μB/f.u.
N(E_F): 2.3 states/eV/f.u.

Cell: 2.9685 4.2392 9.1418 Å, 90.00 90.00 90.00°
Last column: nearest neighbours and their distance in Å.
Space group Imm2 (No. 44)
Unique sites:
Sc 0.0000 0.0000 0.0000 [2 per cell]  5 Tl 2.93-3.06, 5 Re 2.94-3.17, 2 Sc 2.97
Tl 0.0000 0.0000 0.6796 [2 per cell]  5 Sc 2.93-3.06, 2 Tl 2.97, 5 Re 3.01-3.04
Re 0.0000 0.0000 0.3470 [2 per cell]  5 Sc 2.94-3.17, 2 Re 2.97, 5 Tl 3.01-3.04


*x*
VASP calculation (PBE-GGA) on a geometry-optimized ScTlRe structure.

Summary:
magnetic moment: 0.8 μB/f.u.
N(E_F): 6.4 states/eV/f.u.

Cell: 6.5144 6.5144 6.5144 Å, 90.00 90.00 90.00°
Last column: nearest neighbours and their distance in Å.
Space group F-43m (No. 216)
Unique sites:
Sc 0.0000 0.0000 0.0000 [4 per cell]  4 Tl 2.82, 4 Re 2.82
Tl 0.2500 0.2500 0.2500 [4 per cell]  4 Sc 2.82
Re 0.2500 0.2500 0.7500 [4 per cell]  4 Sc 2.82


Which of them is most stable, and which least? Most stable: *w*; least stable: *x*.